The following is a PBEsol calculation of crystalline CoTe2Rh at its relaxed geometry, from Alexandria via LeMat-Bulk.

a b c (Å): 5.7594 5.7594 11.0769
angles (deg): 90.00 90.00 90.00
Positions (direct):
Co: 0.0000 0.0000 0.0000
Co: 0.0000 0.5000 0.2500
Co: 0.5000 0.0000 0.7500
Co: 0.5000 0.5000 0.5000
Te: 0.2302 0.2500 0.1250
Te: 0.2500 0.7302 0.3750
Te: 0.2500 0.7698 0.8750
Te: 0.2698 0.2500 0.6250
Te: 0.7302 0.7500 0.6250
Te: 0.7500 0.2302 0.8750
Te: 0.7500 0.2698 0.3750
Te: 0.7698 0.7500 0.1250
Rh: 0.0000 0.0000 0.5000
Rh: 0.0000 0.5000 0.7500
Rh: 0.5000 0.0000 0.2500
Rh: 0.5000 0.5000 0.0000

Output
The volume is 22.96 Å³ per atom. The value obtained for the total energy is -5.652 eV per atom. The symmetry is No. 122. The calculation puts the energy relative to the elements, uncorrected at 0.080 eV per atom.